1.
Compound: KCa2Cd6
Source: Alexandria
Functional: PBE-GGA
Structure: optimized geometry

Its electronic total energy is -1.352 eV per atom. The calculation puts the density of states at the Fermi level at 10.38 states/eV/cell.

The structure belongs to space group Immm (No. 71); the cell edges are 3.965, 8.546 and 15.498 Å and the angles 90.00°, 90.00° and 90.00°. Symmetry generates all atoms from K at (0.000, 0.000, 0.000), Ca at (0.000, 0.500, 0.140), Cd at (0.000, 0.173, 0.500) and Cd at (0.000, 0.318, 0.323).

***

2.
Compound: K2CaCd
Source: Alexandria
Functional: PBE-GGA
Structure: optimized geometry

Its electronic total energy is -1.183 eV per atom. The calculation puts the density of states at the Fermi level at 5.42 states/eV/cell.

The structure belongs to space group I4/mmm (No. 139); the cell edges are 5.187, 5.187 and 12.748 Å and the angles 90.00°, 90.00° and 90.00°. Symmetry generates all atoms from K at (0.000, 0.500, 0.250), Ca at (0.000, 0.000, 0.000) and Cd at (0.000, 0.000, 0.500).

***

3.
Compound: KCa2MgCd
Source: Alexandria
Functional: PBE-GGA
Structure: optimized geometry

Its electronic total energy is -0.715 eV per atom. The calculation puts the density of states at the Fermi level at 6.09 states/eV/cell.

The structure belongs to space group P4/mmm (No. 123); the cell edges are 6.427, 6.427 and 5.736 Å and the angles 90.00°, 90.00° and 90.00°. Symmetry generates all atoms from K at (0.000, 0.000, 0.000), Ca at (0.000, 0.500, 0.000), Mg at (0.500, 0.500, 0.500) and Cd at (0.000, 0.000, 0.500).

***

4.
Compound: KCa2CdMo
Source: Alexandria
Functional: PBE-GGA
Structure: optimized geometry

Its electronic total energy is -2.318 eV per atom. The calculation puts the density of states at the Fermi level at 3.77 states/eV/cell.

The structure belongs to space group P4/mmm (No. 123); the cell edges are 5.956, 5.956 and 6.135 Å and the angles 90.00°, 90.00° and 90.00°. Symmetry generates all atoms from K at (0.000, 0.000, 0.000), Ca at (0.000, 0.500, 0.500), Cd at (0.000, 0.000, 0.500) and Mo at (0.500, 0.500, 0.000).

***

5.
Compound: KCaCd2N
Source: Alexandria
Functional: PBE-GGA
Structure: optimized geometry

The calculation puts the density of states at the Fermi level at 2.89 states/eV/cell. For the formation energy without anion corrections, the calculation gives 0.416 eV per atom.

The structure belongs to space group P4/mmm (No. 123); the cell edges are 6.318, 6.318 and 4.356 Å and the angles 90.00°, 90.00° and 90.00°. Symmetry generates all atoms from K at (0.000, 0.000, 0.000), Ca at (0.500, 0.500, 0.500), Cd at (0.000, 0.500, 0.500) and N at (0.500, 0.500, 0.000).

***

6.
Compound: KNa2CaCd
Source: Alexandria
Functional: PBE-GGA
Structure: optimized geometry

Its electronic total energy is -1.269 eV per atom. The calculation puts the density of states at the Fermi level at 3.31 states/eV/cell.

The structure belongs to space group P4/mmm (No. 123); the cell edges are 6.075, 6.075 and 6.113 Å and the angles 90.00°, 90.00° and 90.00°. Symmetry generates all atoms from K at (0.000, 0.000, 0.000), Na at (0.000, 0.500, 0.500), Ca at (0.500, 0.500, 0.000) and Cd at (0.500, 0.500, 0.500).

***

7.
Compound: K2CaCd2O4
Source: Alexandria
Functional: PBE-GGA
Structure: optimized geometry

For the formation energy without anion corrections, the calculation gives -1.522 eV per atom.

The structure belongs to space group C2/m (No. 12); the cell edges are 12.723, 3.677 and 8.971 Å and the angles 90.00°, 127.66° and 90.00°. Symmetry generates all atoms from K at (0.183, 0.000, 0.295), Ca at (0.000, 0.000, 0.500), Cd at (0.127, 0.500, 0.872), O at (0.065, 0.500, 0.390) and O at (0.219, 0.000, 0.822).

***

8.
Compound: K2CaCdP2
Source: Alexandria
Functional: PBE-GGA
Structure: optimized geometry

Its electronic total energy is -3.241 eV per atom.

The structure belongs to space group Ibam (No. 72); the cell edges are 6.715, 15.121 and 6.818 Å and the angles 90.00°, 90.00° and 90.00°. Symmetry generates all atoms from K at (0.215, 0.183, 0.000), Ca at (0.000, 0.500, 0.250), Cd at (0.000, 0.000, 0.250) and P at (0.239, 0.097, 0.500).

***

9.
Compound: KCaCdPb
Source: Alexandria
Functional: PBE-GGA
Structure: optimized geometry

Its electronic total energy is -2.110 eV per atom. The calculation puts the density of states at the Fermi level at 15.81 states/eV/cell.

The structure belongs to space group F-43m (No. 216); the cell edges are 8.026, 8.026 and 8.026 Å and the angles 90.00°, 90.00° and 90.00°. Symmetry generates all atoms from K at (0.000, 0.000, 0.000), Ca at (0.000, 0.000, 0.500), Cd at (0.250, 0.250, 0.250) and Pb at (0.250, 0.250, 0.750).

***

10.
Compound: KCa2CdPd
Source: Alexandria
Functional: PBE-GGA
Structure: optimized geometry

Its electronic total energy is -2.503 eV per atom. The calculation puts the density of states at the Fermi level at 2.10 states/eV/cell.

The structure belongs to space group P4/mmm (No. 123); the cell edges are 5.629, 5.629 and 5.471 Å and the angles 90.00°, 90.00° and 90.00°. Symmetry generates all atoms from K at (0.000, 0.000, 0.000), Ca at (0.000, 0.500, 0.500), Cd at (0.500, 0.500, 0.000) and Pd at (0.500, 0.500, 0.500).

***

11.
Compound: KCa2CdPt
Source: Alexandria
Functional: PBE-GGA
Structure: optimized geometry

Its electronic total energy is -2.790 eV per atom. The calculation puts the density of states at the Fermi level at 2.28 states/eV/cell.

The structure belongs to space group P4/mmm (No. 123); the cell edges are 5.609, 5.609 and 5.467 Å and the angles 90.00°, 90.00° and 90.00°. Symmetry generates all atoms from K at (0.000, 0.000, 0.000), Ca at (0.000, 0.500, 0.500), Cd at (0.500, 0.500, 0.000) and Pt at (0.500, 0.500, 0.500).

***

12.
Compound: KCaCdRh2
Source: Alexandria
Functional: PBE-GGA
Structure: optimized geometry

Its electronic total energy is -2.557 eV per atom. The calculation puts the density of states at the Fermi level at 5.13 states/eV/cell.

The structure belongs to space group P4/mmm (No. 123); the cell edges are 4.935, 4.935 and 5.349 Å and the angles 90.00°, 90.00° and 90.00°. Symmetry generates all atoms from K at (0.000, 0.000, 0.000), Ca at (0.500, 0.500, 0.500), Cd at (0.000, 0.000, 0.500) and Rh at (0.000, 0.500, 0.000).